[1]
The following is a PBE calculation of a geometry-optimized Pr3ErTl structure, from Alexandria via LeMat-Bulk.

distance to the lowest polymorph of the same formula	0.056	eV/atom
energy relative to the elements	-33	kJ/mol of formula units
D(E_F)	1.16	states/eV/atom
spin magnetization	0.00	μB/f.u.

Cell: 6.335 8.745 12.262 Å, 76.33 90.00 90.00°
Fractional coordinates of all 20 atoms:
Tl  0.317  0.940  0.589
Tl  0.183  0.940  0.089
Tl  0.683  0.060  0.411
Tl  0.817  0.060  0.911
Pr  0.539  0.689  0.017
Pr  0.672  0.950  0.176
Pr  0.961  0.689  0.517
Pr  0.328  0.050  0.824
Pr  0.039  0.311  0.483
Pr  0.964  0.313  0.089
Pr  0.464  0.687  0.411
Pr  0.828  0.950  0.676
Pr  0.172  0.050  0.324
Pr  0.536  0.313  0.589
Pr  0.461  0.311  0.983
Pr  0.036  0.687  0.911
Er  0.980  0.384  0.766
Er  0.480  0.616  0.734
Er  0.520  0.384  0.266
Er  0.020  0.616  0.234

***

[2]
The following is a PBE calculation of a geometry-optimized YReAu2 structure, from Alexandria via LeMat-Bulk.

distance to the lowest polymorph of the same formula	0.096	eV/atom
energy relative to the elements	47	kJ/mol of formula units
D(E_F)	0.83	states/eV/atom
spin magnetization	1.75	μB/f.u.

Cell: 5.316 5.316 5.316 Å, 133.74 133.79 67.46°
Last column: magnetic moment on the atom in μB.
Fractional coordinates of all 4 atoms:
Y  0.250  0.750  0.500  0.07
Re  0.500  0.500  0.000  1.39
Au  0.000  0.000  0.000  0.03
Au  0.750  0.250  0.500  0.04

***

[3]
The following is a PBE calculation of a geometry-optimized Pr3Sm2Tl4 structure, from Alexandria via LeMat-Bulk.

distance to the lowest polymorph of the same formula	0.103	eV/atom
energy relative to the elements	-183	kJ/mol of formula units
D(E_F)	0.67	states/eV/atom
spin magnetization	0.00	μB/f.u.

Cell: 7.481 9.907 8.807 Å, 90.00 115.13 90.00°
Fractional coordinates of all 18 atoms:
Sm  0.895  0.443  0.790
Sm  0.105  0.557  0.210
Sm  0.395  0.057  0.790
Sm  0.605  0.943  0.210
Tl  0.195  0.976  0.391
Tl  0.763  0.250  0.026
Tl  0.695  0.524  0.391
Tl  0.305  0.476  0.609
Tl  0.237  0.750  0.974
Tl  0.737  0.750  0.974
Tl  0.263  0.250  0.026
Tl  0.805  0.024  0.609
Pr  0.532  0.750  0.563
Pr  0.968  0.250  0.437
Pr  0.500  0.500  0.000
Pr  0.032  0.750  0.563
Pr  0.468  0.250  0.437
Pr  0.000  0.000  0.000

***

[4]
The following is a PBE calculation of a geometry-optimized AcTbScTe3 structure, from Alexandria via LeMat-Bulk.

D(E_F)	0.55	states/eV/atom
ΔE_f (raw)	-1.257	eV per atom
spin magnetization	1.21	μB/f.u.

Cell: 4.431 9.048 10.101 Å, 106.51 90.00 90.00°
Last column: magnetic moment on the atom in μB.
Fractional coordinates of all 12 atoms:
Te  0.250  0.099  0.883  0.00
Te  0.750  0.901  0.117  0.00
Te  0.750  0.256  0.507  -0.01
Te  0.250  0.744  0.493  -0.01
Te  0.250  0.564  0.834  0.00
Te  0.750  0.436  0.166  0.00
Sc  0.750  0.910  0.406  0.56
Sc  0.250  0.090  0.594  0.56
Tb  0.250  0.674  0.159  0.18
Tb  0.750  0.326  0.841  0.18
Ac  0.750  0.811  0.764  0.02
Ac  0.250  0.189  0.236  0.02

***

[5]
The following is a PBE calculation of a geometry-optimized NaTmAgPt structure, from Alexandria via LeMat-Bulk.

energy relative to the elements	-179	kJ/mol of formula units
D(E_F)	0.45	states/eV/atom
spin magnetization	0.00	μB/f.u.

Cell: 4.876 4.876 4.876 Å, 60.00 60.00 60.00°
Fractional coordinates of all 4 atoms:
Pt  0.750  0.750  0.750
Na  0.500  0.500  0.500
Tm  0.000  0.000  0.000
Ag  0.250  0.250  0.250

***

[6]
The following is a PBE calculation of a geometry-optimized BaPuPd structure, from Alexandria via LeMat-Bulk.

distance to the lowest polymorph of the same formula	0.163	eV/atom
energy relative to the elements	-33	kJ/mol of formula units
D(E_F)	4.93	states/eV/atom
spin magnetization	6.06	μB/f.u.

Cell: 3.763 3.763 7.204 Å, 105.14 105.14 90.00°
Last column: magnetic moment on the atom in μB.
Fractional coordinates of all 3 atoms:
Pu  0.288  0.288  0.575  5.46
Ba  0.021  0.021  0.042  0.08
Pd  0.692  0.692  0.383  -0.04